1.
! RhIN2O, PBEsol geometry, DFT meta-GGA SCAN; values from VASP
! **ΔE_f (raw)**: 2285 meV/atom
! **Symmetry**: P4/mmm (123)
! **Final energy**: -16.7799 eV/atom
&SYSTEM
  ibrav = 0, nat = 5, ntyp = 4
/
ATOMIC_SPECIES
Rh 102.91 Rh.upf
I 126.90 I.upf
N 14.01 N.upf
O 16.00 O.upf
ATOMIC_POSITIONS crystal
Rh 0.000 0.000 0.000
I 0.500 0.500 0.000
N 0.000 0.500 0.500
N 0.500 0.000 0.500
O 0.500 0.500 0.500
CELL_PARAMETERS angstrom
3.809 0.000 0.000
0.000 3.809 0.000
0.000 0.000 4.231

=====

2.
! CsNa3Li, PBEsol geometry, DFT meta-GGA SCAN; values from VASP
! **DFT formation energy**: 0.49 eV per formula unit
! **Symmetry**: Pm-3m (221)
! **Final energy**: -10.4702 eV/atom
&SYSTEM
  ibrav = 0, nat = 5, ntyp = 3
/
ATOMIC_SPECIES
Cs 132.91 Cs.upf
Na 22.99 Na.upf
Li 6.94 Li.upf
ATOMIC_POSITIONS crystal
Cs 0.000 0.000 0.000
Na 0.000 0.500 0.500
Na 0.500 0.000 0.500
Na 0.500 0.500 0.000
Li 0.500 0.500 0.500
CELL_PARAMETERS angstrom
6.162 0.000 0.000
0.000 6.162 0.000
0.000 0.000 6.162

=====

3.
! LiAgMo2, PBEsol geometry, DFT meta-GGA SCAN; values from VASP
! **DFT formation energy**: 2.03 eV per formula unit
! **Energy relative to the lowest polymorph listed for this composition**: 0.0000 eV per atom
! **Symmetry**: Cmmm (65)
! **Final energy**: -25.3751 eV/atom
&SYSTEM
  ibrav = 0, nat = 4, ntyp = 3
/
ATOMIC_SPECIES
Li 6.94 Li.upf
Ag 107.87 Ag.upf
Mo 95.94 Mo.upf
ATOMIC_POSITIONS crystal
Li 0.000 0.000 0.000
Ag 0.000 0.000 0.500
Mo 0.500 0.500 0.250
Mo 0.500 0.500 0.750
CELL_PARAMETERS angstrom
1.535 -2.087 0.000
1.535 2.087 0.000
0.000 0.000 9.651

=====

4.
! HgMo3Se, PBEsol geometry, DFT meta-GGA SCAN; values from VASP
! **ΔE_f (raw)**: 1144 meV/atom
! **Symmetry**: Pm-3m (221)
! **Final energy**: -37.4363 eV/atom
&SYSTEM
  ibrav = 0, nat = 5, ntyp = 3
/
ATOMIC_SPECIES
Hg 200.59 Hg.upf
Mo 95.94 Mo.upf
Se 78.96 Se.upf
ATOMIC_POSITIONS crystal
Hg 0.000 0.000 0.000
Mo 0.000 0.500 0.500
Mo 0.500 0.000 0.500
Mo 0.500 0.500 0.000
Se 0.500 0.500 0.500
CELL_PARAMETERS angstrom
4.560 0.000 0.000
0.000 4.560 0.000
0.000 0.000 4.560

=====

5.
! Li2Zn2In, PBEsol geometry, DFT meta-GGA SCAN; values from VASP
! **DFT formation energy**: -1.07 eV per formula unit
! **Symmetry**: P4/mbm (127)
! **Final energy**: -13.2523 eV/atom
&SYSTEM
  ibrav = 0, nat = 10, ntyp = 3
/
ATOMIC_SPECIES
Li 6.94 Li.upf
Zn 65.41 Zn.upf
In 114.82 In.upf
ATOMIC_POSITIONS crystal
Li 0.168 0.332 0.000
Li 0.332 0.832 0.000
Li 0.668 0.168 0.000
Li 0.832 0.668 0.000
Zn 0.125 0.625 0.500
Zn 0.375 0.125 0.500
Zn 0.625 0.875 0.500
Zn 0.875 0.375 0.500
In 0.000 0.000 0.500
In 0.500 0.500 0.500
CELL_PARAMETERS angstrom
7.074 0.000 0.000
0.000 7.074 0.000
0.000 0.000 3.281

=====

6.
! CoTeSeBr2, PBEsol geometry, DFT meta-GGA SCAN; values from VASP
! **ΔE_f (raw)**: 592 meV/atom
! **Symmetry**: P4/mmm (123)
! **Final energy**: -22.1183 eV/atom
&SYSTEM
  ibrav = 0, nat = 5, ntyp = 4
/
ATOMIC_SPECIES
Co 58.93 Co.upf
Te 127.60 Te.upf
Se 78.96 Se.upf
Br 79.90 Br.upf
ATOMIC_POSITIONS crystal
Co 0.000 0.000 0.000
Te 0.500 0.500 0.500
Se 0.500 0.500 0.000
Br 0.000 0.500 0.500
Br 0.500 0.000 0.500
CELL_PARAMETERS angstrom
5.448 0.000 0.000
0.000 5.448 0.000
0.000 0.000 5.397

=====

7.
! AsOs2Pb, PBEsol geometry, DFT meta-GGA SCAN; values from VASP
! **DFT formation energy**: 2.84 eV per formula unit
! **Energy relative to the lowest polymorph listed for this composition**: 0.1960 eV per atom
! **Symmetry**: C2/m (12)
! **Final energy**: -59.2221 eV/atom
&SYSTEM
  ibrav = 0, nat = 4, ntyp = 3
/
ATOMIC_SPECIES
As 74.92 As.upf
Os 190.23 Os.upf
Pb 207.20 Pb.upf
ATOMIC_POSITIONS crystal
As 0.000 0.000 0.000
Os 0.255 0.255 0.804
Os 0.745 0.745 0.196
Pb 0.500 0.500 0.500
CELL_PARAMETERS angstrom
4.092 -1.502 0.000
4.092 1.502 0.000
-1.119 0.000 5.565

=====

8.
! Tl2ZnSi, PBEsol geometry, DFT meta-GGA SCAN; values from VASP
! **ΔE_f (raw)**: 334 meV/atom
! **Energy relative to the lowest polymorph listed for this composition**: 0.0000 eV per atom
! **Symmetry**: P4mm (99)
! **Final energy**: -41.7278 eV/atom
&SYSTEM
  ibrav = 0, nat = 4, ntyp = 3
/
ATOMIC_SPECIES
Tl 204.38 Tl.upf
Zn 65.41 Zn.upf
Si 28.09 Si.upf
ATOMIC_POSITIONS crystal
Tl 0.000 0.000 0.000
Tl 0.500 0.500 0.333
Zn 0.500 0.500 0.739
Si 0.000 0.000 0.599
CELL_PARAMETERS angstrom
3.305 0.000 0.000
0.000 3.305 0.000
0.000 0.000 8.113